Entry 1:
# BeNb3Pd PBEsol relaxed
# Magnetic moment = 0.000 μB per formula unit
# DFT formation energy = 792 kJ/mol of formula units
# Total energy = -6.84 eV/atom
data_BeNb3Pd
_symmetry_space_group_name_H-M 'P m -3 m'
_symmetry_Int_Tables_number 221
_symmetry_space_group_name_Hall '-P 4 2 3'
_cell_length_a 4.773
_cell_length_b 4.773
_cell_length_c 4.773
_cell_angle_alpha 90.00
_cell_angle_beta 90.00
_cell_angle_gamma 90.00
loop_
_atom_site_label
_atom_site_fract_x
_atom_site_fract_y
_atom_site_fract_z
_atom_site_occupancy
Be1 0.000 0.000 0.000 1
Nb1 0.000 0.500 0.500 1
Pd1 0.500 0.500 0.500 1



Entry 2:
# SbSeBr2N PBEsol relaxed
# Magnetic moment = 2.434 μB per formula unit
# Formation energy without anion corrections = 1.013 eV per atom
# Total energy = -3.12 eV/atom
data_SbSeBr2N
_symmetry_space_group_name_H-M 'P 4/m m m'
_symmetry_Int_Tables_number 123
_symmetry_space_group_name_Hall '-P 4 2'
_cell_length_a 5.530
_cell_length_b 5.530
_cell_length_c 5.295
_cell_angle_alpha 90.00
_cell_angle_beta 90.00
_cell_angle_gamma 90.00
loop_
_atom_site_label
_atom_site_fract_x
_atom_site_fract_y
_atom_site_fract_z
_atom_site_occupancy
Sb1 0.000 0.000 0.000 1
Se1 0.000 0.000 0.500 1
Br1 0.000 0.500 0.000 1
N1 0.500 0.500 0.500 1



Entry 3:
# NaSr3Zn PBEsol relaxed
# Magnetic moment = 0.000 μB per formula unit
# DFT formation energy = 11 kJ/mol of formula units
# Total energy = -1.68 eV/atom
data_NaSr3Zn
_symmetry_space_group_name_H-M 'P m -3 m'
_symmetry_Int_Tables_number 221
_symmetry_space_group_name_Hall '-P 4 2 3'
_cell_length_a 6.124
_cell_length_b 6.124
_cell_length_c 6.124
_cell_angle_alpha 90.00
_cell_angle_beta 90.00
_cell_angle_gamma 90.00
loop_
_atom_site_label
_atom_site_fract_x
_atom_site_fract_y
_atom_site_fract_z
_atom_site_occupancy
Na1 0.000 0.000 0.000 1
Sr1 0.000 0.500 0.500 1
Zn1 0.500 0.500 0.500 1



Entry 4:
# BeNiRh2 PBEsol relaxed
# Magnetic moment = 0.971 μB per formula unit
# DFT formation energy = -43 kJ/mol of formula units
# Total energy = -6.72 eV/atom
data_BeNiRh2
_symmetry_space_group_name_H-M 'I m m m'
_symmetry_Int_Tables_number 71
_symmetry_space_group_name_Hall '-I 2 2'
_cell_length_a 2.725
_cell_length_b 4.233
_cell_length_c 8.054
_cell_angle_alpha 90.00
_cell_angle_beta 90.00
_cell_angle_gamma 90.00
loop_
_atom_site_label
_atom_site_fract_x
_atom_site_fract_y
_atom_site_fract_z
_atom_site_occupancy
Be1 0.000 0.000 0.000 1
Ni1 0.000 0.000 0.500 1
Rh1 0.000 0.500 0.281 1



Entry 5:
# SrRh2Au PBEsol relaxed
# Magnetic moment = 0.801 μB per formula unit
# DFT formation energy = 82 kJ/mol of formula units
# Total energy = -5.30 eV/atom
data_SrRh2Au
_symmetry_space_group_name_H-M 'F -4 3 m'
_symmetry_Int_Tables_number 216
_symmetry_space_group_name_Hall 'F -4 2 3'
_cell_length_a 6.630
_cell_length_b 6.630
_cell_length_c 6.630
_cell_angle_alpha 90.00
_cell_angle_beta 90.00
_cell_angle_gamma 90.00
loop_
_atom_site_label
_atom_site_fract_x
_atom_site_fract_y
_atom_site_fract_z
_atom_site_occupancy
Sr1 0.000 0.000 0.000 1
Rh1 0.000 0.000 0.500 1
Rh2 0.250 0.250 0.250 1
Au1 0.250 0.250 0.750 1



Entry 6:
# La2FeSe PBEsol relaxed
# Magnetic moment = 1.126 μB per formula unit
# Formation energy without anion corrections = -0.575 eV per atom
# Total energy = -6.45 eV/atom
data_La2FeSe
_symmetry_space_group_name_H-M 'I m m 2'
_symmetry_Int_Tables_number 44
_cell_length_a 3.630
_cell_length_b 4.433
_cell_length_c 11.253
_cell_angle_alpha 90.00
_cell_angle_beta 90.00
_cell_angle_gamma 90.00
loop_
_symmetry_equiv_pos_as_xyz
'x,y,z'
'-x,-y,z'
'-x,y,z'
'x,-y,z'
'x+1/2,y+1/2,z+1/2'
'-x+1/2,-y+1/2,z+1/2'
'-x+1/2,y+1/2,z+1/2'
'x+1/2,-y+1/2,z+1/2'
loop_
_atom_site_label
_atom_site_fract_x
_atom_site_fract_y
_atom_site_fract_z
_atom_site_occupancy
La1 0.000 0.000 0.000 1
La2 0.000 0.500 0.228 1
Fe1 0.000 0.500 0.760 1
Se1 0.000 0.000 0.413 1



Entry 7:
# USnRh PBEsol relaxed
# Magnetic moment = 2.102 μB per formula unit
# DFT formation energy = -106 kJ/mol of formula units
# Total energy = -8.55 eV/atom
data_USnRh
_symmetry_space_group_name_H-M 'P -6 2 m'
_symmetry_Int_Tables_number 189
_symmetry_space_group_name_Hall 'P -6 -2'
_cell_length_a 7.1957
_cell_length_b 7.1957
_cell_length_c 4.0293
_cell_angle_alpha 90.00
_cell_angle_beta 90.00
_cell_angle_gamma 120.00
loop_
_atom_site_label
_atom_site_fract_x
_atom_site_fract_y
_atom_site_fract_z
_atom_site_occupancy
U1 0.0000 0.5816 0.0000 1
Sn1 0.0000 0.2520 0.5000 1
Rh1 0.0000 0.0000 0.0000 1
Rh2 0.3333 0.6667 0.5000 1



Entry 8:
# KAs2Ir PBEsol relaxed
# Magnetic moment = 0.000 μB per formula unit
# DFT formation energy = 96 kJ/mol of formula units
# Total energy = -5.04 eV/atom
data_KAs2Ir
_symmetry_space_group_name_H-M 'F m -3 m'
_symmetry_Int_Tables_number 225
_symmetry_space_group_name_Hall '-F 4 2 3'
_cell_length_a 6.548
_cell_length_b 6.548
_cell_length_c 6.548
_cell_angle_alpha 90.00
_cell_angle_beta 90.00
_cell_angle_gamma 90.00
loop_
_atom_site_label
_atom_site_fract_x
_atom_site_fract_y
_atom_site_fract_z
_atom_site_occupancy
K1 0.000 0.000 0.000 1
As1 0.250 0.250 0.250 1
Ir1 0.000 0.000 0.500 1



Entry 9:
# ZrInOs PBEsol relaxed
# Magnetic moment = 0.002 μB per formula unit
# DFT formation energy = 200 kJ/mol of formula units
# Total energy = -7.41 eV/atom
data_ZrInOs
_symmetry_space_group_name_H-M 'F -4 3 m'
_symmetry_Int_Tables_number 216
_symmetry_space_group_name_Hall 'F -4 2 3'
_cell_length_a 6.301
_cell_length_b 6.301
_cell_length_c 6.301
_cell_angle_alpha 90.00
_cell_angle_beta 90.00
_cell_angle_gamma 90.00
loop_
_atom_site_label
_atom_site_fract_x
_atom_site_fract_y
_atom_site_fract_z
_atom_site_occupancy
Zr1 0.000 0.000 0.000 1
In1 0.250 0.250 0.250 1
Os1 0.000 0.000 0.500 1



Entry 10:
# Mg14TiMnO16 PBEsol relaxed
# Magnetic moment = 6.748 μB per formula unit
# Formation energy without anion corrections = -2.580 eV per atom
# Total energy = -6.52 eV/atom
data_Mg14TiMnO16
_symmetry_space_group_name_H-M 'P 4/m m m'
_symmetry_Int_Tables_number 123
_symmetry_space_group_name_Hall '-P 4 2'
_cell_length_a 8.512
_cell_length_b 8.512
_cell_length_c 4.221
_cell_angle_alpha 90.00
_cell_angle_beta 90.00
_cell_angle_gamma 90.00
loop_
_atom_site_label
_atom_site_fract_x
_atom_site_fract_y
_atom_site_fract_z
_atom_site_occupancy
Mg1 0.000 0.251 0.000 1
Mg2 0.000 0.500 0.500 1
Mg3 0.247 0.500 0.000 1
Mg4 0.249 0.249 0.500 1
Ti1 0.500 0.500 0.500 1
Mn1 0.000 0.000 0.500 1
O1 0.000 0.000 0.000 1
O2 0.000 0.257 0.500 1
O3 0.000 0.500 0.000 1
O4 0.246 0.500 0.500 1
O5 0.250 0.250 0.000 1
O6 0.500 0.500 0.000 1



Entry 11:
# Na3Mn3O8 PBEsol relaxed
# Magnetic moment = 8.000 μB per formula unit
# Formation energy without anion corrections = -1.686 eV per atom
# Total energy = -7.08 eV/atom
data_Na3Mn3O8
_symmetry_space_group_name_H-M 'P 43 3 2'
_symmetry_Int_Tables_number 212
_symmetry_space_group_name_Hall 'P 4acd 2ab 3'
_cell_length_a 8.588
_cell_length_b 8.588
_cell_length_c 8.588
_cell_angle_alpha 90.00
_cell_angle_beta 90.00
_cell_angle_gamma 90.00
loop_
_atom_site_label
_atom_site_fract_x
_atom_site_fract_y
_atom_site_fract_z
_atom_site_occupancy
Na1 0.017 0.017 0.017 1
Na2 0.125 0.875 0.375 1
Mn1 0.101 0.149 0.625 1
O1 0.062 0.145 0.409 1
O2 0.124 0.624 0.876 1



Entry 12:
# K2ICl PBEsol relaxed
# Magnetic moment = 0.001 μB per formula unit
# Formation energy without anion corrections = -1.601 eV per atom
# Total energy = -3.11 eV/atom
data_K2ICl
_symmetry_space_group_name_H-M 'I -4 2 d'
_symmetry_Int_Tables_number 122
_symmetry_space_group_name_Hall 'I -4 2bw'
_cell_length_a 8.401
_cell_length_b 8.401
_cell_length_c 9.339
_cell_angle_alpha 90.00
_cell_angle_beta 90.00
_cell_angle_gamma 90.00
loop_
_atom_site_label
_atom_site_fract_x
_atom_site_fract_y
_atom_site_fract_z
_atom_site_occupancy
K1 0.211 0.750 0.125 1
I1 0.000 0.000 0.500 1
Cl1 0.000 0.000 0.000 1